## SrCrO4 (GGA+U)

Data for crystalline SrCrO4 at its relaxed geometry.

```
SrCrO4
1.0
7.5888 0.0000 0.0000
0.0000 6.6632 0.0000
0.0000 0.0000 7.6862
Sr Cr O
4 4 16
direct
0.0000 0.1407 0.2500
0.0000 0.8593 0.7500
0.5000 0.3593 0.7500
0.5000 0.6407 0.2500
0.0000 0.3544 0.7500
0.0000 0.6456 0.2500
0.5000 0.1456 0.2500
0.5000 0.8544 0.7500
0.0007 0.2042 0.5765
0.0007 0.7958 0.0765
0.1759 0.4966 0.2508
0.1759 0.5034 0.7508
0.3241 0.0034 0.7508
0.3241 0.9966 0.2508
0.4993 0.2958 0.0765
0.4993 0.7042 0.5765
0.5007 0.2958 0.4235
0.5007 0.7042 0.9235
0.6759 0.0034 0.7492
0.6759 0.9966 0.2492
0.8241 0.4966 0.2492
0.8241 0.5034 0.7492
0.9993 0.2042 0.9235
0.9993 0.7958 0.4235
```

Summary:
final energy: -6.846 eV/atom
space group: Pbcn, No. 60
total moment: 0.0 μB/cell
DOS at the Fermi energy: 0.000 states/eV per cell

## Sr3Cr2O8 (GGA+U)

Data for crystalline Sr3Cr2O8 at its relaxed geometry.

```
Sr3Cr2O8
1.0
5.6623 0.0000 0.0000
0.0477 7.5008 0.0000
0.0133 3.2144 8.8830
Sr Cr O
6 4 16
direct
0.1964 0.2471 0.2542
0.2461 0.6632 0.4379
0.2508 0.8522 0.0340
0.7492 0.1478 0.9660
0.7539 0.3368 0.5621
0.8036 0.7529 0.7458
0.2634 0.0643 0.6525
0.2644 0.4418 0.8397
0.7356 0.5582 0.1603
0.7366 0.9357 0.3475
0.0120 0.0533 0.7625
0.0543 0.4828 0.6983
0.2113 0.6200 0.9094
0.2229 0.9007 0.5672
0.2338 0.2228 0.9810
0.3020 0.2856 0.5164
0.4520 0.5562 0.2298
0.4942 0.9754 0.2291
0.5058 0.0246 0.7709
0.5480 0.4438 0.7702
0.6980 0.7144 0.4836
0.7662 0.7772 0.0190
0.7771 0.0993 0.4328
0.7887 0.3800 0.0906
0.9457 0.5172 0.3017
0.9880 0.9467 0.2375
```

Summary:
final energy: -6.815 eV/atom
space group: P-1, No. 2
total moment: 4.0 μB/cell

## SrCrO4 (GGA+U)

Data for crystalline SrCrO4 at its relaxed geometry.

```
SrCrO4
1.0
7.2684 0.0000 0.0000
0.0000 7.5516 0.0000
-1.0644 0.0000 7.0794
Sr Cr O
4 4 16
direct
0.1460 0.0406 0.2819
0.1460 0.4594 0.7819
0.8540 0.5406 0.2181
0.8540 0.9594 0.7181
0.3270 0.9997 0.8862
0.3270 0.5003 0.3862
0.6730 0.0003 0.1138
0.6730 0.4997 0.6138
0.1721 0.1619 0.9464
0.1721 0.3381 0.4464
0.1852 0.6900 0.2828
0.1852 0.8100 0.7828
0.1871 0.5600 0.1277
0.1871 0.9400 0.6277
0.4370 0.5515 0.6458
0.4370 0.9485 0.1458
0.5630 0.0515 0.8542
0.5630 0.4485 0.3542
0.8129 0.0600 0.3723
0.8129 0.4400 0.8723
0.8148 0.1900 0.2172
0.8148 0.3100 0.7172
0.8279 0.6619 0.5536
0.8279 0.8381 0.0536
```

Summary:
final energy: -6.524 eV/atom
space group: P2_1/c, No. 14
total moment: 8.0 μB/cell
DOS at the Fermi energy: 0.000 states/eV per cell

## SrCrO4 (GGA+U)

Data for crystalline SrCrO4 at its relaxed geometry.

```
SrCrO4
1.0
-3.1517 3.1517 2.1572
3.1517 -3.1517 2.1572
3.1517 3.1517 -2.1572
Sr Cr O
1 1 4
direct
0.0000 0.0000 0.0000
0.7500 0.2500 0.5000
0.1498 0.5800 0.8034
0.4200 0.2234 0.5698
0.6536 0.8502 0.4302
0.7766 0.3464 0.1966
```

Summary:
final energy: -6.726 eV/atom
space group: I-4, No. 82
total moment: 0.0 μB/cell
DOS at the Fermi energy: 0.000 states/eV per cell

## SrCrO4 (GGA+U)

Data for crystalline SrCrO4 at its relaxed geometry.

```
SrCrO4
1.0
6.6736 0.0000 0.0000
0.0000 7.1979 0.0000
-0.5989 0.0000 10.2525
Sr Cr O
4 4 16
direct
0.1526 0.0205 0.3389
0.1526 0.4795 0.8389
0.8474 0.5205 0.1611
0.8474 0.9795 0.6611
0.3241 0.5843 0.2123
0.3241 0.9157 0.7123
0.6759 0.0843 0.2877
0.6759 0.4157 0.7877
0.1274 0.6842 0.2935
0.1274 0.8158 0.7935
0.2071 0.0124 0.5742
0.2071 0.4876 0.0742
0.4545 0.2453 0.3081
0.4545 0.2547 0.8081
0.4756 0.5626 0.7020
0.4756 0.9374 0.2020
0.5244 0.0626 0.7980
0.5244 0.4374 0.2980
0.5455 0.7453 0.1919
0.5455 0.7547 0.6919
0.7929 0.5124 0.9258
0.7929 0.9876 0.4258
0.8726 0.1842 0.2065
0.8726 0.3158 0.7065
```

Summary:
final energy: -6.451 eV/atom
space group: P2_1/c, No. 14
total moment: 8.0 μB/cell

## Sr4Ta3CrO12 (GGA+U)

Data for crystalline Sr4Ta3CrO12 at its relaxed geometry.

```
Sr4Ta3CrO12
1.0
-4.0356 4.0356 4.0356
4.0356 -4.0356 4.0356
4.0356 4.0356 -4.0356
Sr Ta Cr O
4 3 1 12
direct
0.0000 0.0000 0.5000
0.0000 0.5000 0.0000
0.5000 0.0000 0.0000
0.5000 0.5000 0.5000
0.0000 0.5000 0.5000
0.5000 0.0000 0.5000
0.5000 0.5000 0.0000
0.0000 0.0000 0.0000
0.0000 0.2510 0.2510
0.0000 0.7490 0.7490
0.2500 0.5000 0.7500
0.2500 0.7500 0.5000
0.2510 0.0000 0.2510
0.2510 0.2510 0.0000
0.5000 0.2500 0.7500
0.5000 0.7500 0.2500
0.7490 0.0000 0.7490
0.7490 0.7490 0.0000
0.7500 0.2500 0.5000
0.7500 0.5000 0.2500
```

Summary:
final energy: -8.284 eV/atom
space group: Im-3m, No. 229
total moment: 1.5 μB/cell
DOS at the Fermi energy: 3.264 states/eV per cell